Computed, not measured: a relaxed InAg2Bi2 crystal at the PBE level of DFT.

a = 4.6608 Å, b = 4.6608 Å, c = 12.9123 Å
α = 90.00°, β = 90.00°, γ = 90.00°
Last column: nearest neighbours and their distance in Å.
Space group I4/mmm (No. 139)
Symmetry-distinct sites (fractional):
In (0.0000, 0.0000, 0.0000) x2  8 Bi 3.63, 8 Ag 3.98
Ag (0.0000, 0.5000, 0.2500) x4  4 Bi 2.89
Bi (0.0000, 0.0000, 0.3828) x4  4 Ag 2.89, 1 Bi 3.03

Values from the calculation:
For the electronic total energy, the calculation gives -0.2305 Ry/atom.